Entry 1:
Compound: Ag3GeBr
Source: Alexandria
Functional: PBE
Structure: relaxed

Unit cell a=5.017 b=5.017 c=5.017 alpha=90.00 beta=90.00 gamma=90.00
Space group Pm-3m (No. 221)
Inequivalent atoms, fractional coordinates:
Ag 0.000 0.000 0.500
Ge 0.000 0.000 0.000
Br 0.500 0.500 0.500

Calculated values
Formation energy (no corrections) ... 429 meV/atom
Polymorph energy (0 for the lowest one) ... 0 meV per atom



Entry 2:
Compound: Pu3Zn2Pd3
Source: Alexandria
Functional: PBE
Structure: relaxed

Unit cell a=4.315 b=9.807 c=15.058 alpha=90.00 beta=90.00 gamma=90.00
Space group Cmcm (No. 63)
Inequivalent atoms, fractional coordinates:
Pu 0.000 0.015 0.250
Pu 0.000 0.151 0.030
Zn 0.000 0.272 0.661
Pd 0.000 0.304 0.250
Pd 0.000 0.464 0.097

Calculated values
Polymorph energy (0 for the lowest one) ... 0 meV per atom
Energy of formation from the pure elements ... -359 meV per atom